Compound: CaLa2Y
Source: the Alexandria database
Functional: GGA-PBE
Structure: optimized geometry

Unit cell a=3.847 b=6.119 c=12.516 alpha=90.00 beta=90.00 gamma=90.00
Space group Cmm2 (No. 35)
Inequivalent atoms, fractional coordinates:
1 Ca 0.000 0.000 0.000 [2 per cell]
2 La 0.000 0.000 0.487 [2 per cell]
3 La 0.000 0.500 0.736 [2 per cell]
4 Y 0.000 0.500 0.248 [2 per cell]

Total DFT energy (no corrections)   -4.469 eV per atom
ΔE_f   0.1115 eV per atom

Compound: CaLa6Y5
Source: the Alexandria database
Functional: GGA-PBE
Structure: optimized geometry

Unit cell a=12.084 b=11.086 c=6.386 alpha=90.00 beta=100.23 gamma=90.00
Space group C2/m (No. 12)
Inequivalent atoms, fractional coordinates:
1 Ca 0.000 0.000 0.000 [2 per cell]
2 La 0.248 0.330 0.749 [8 per cell]
3 La 0.248 0.500 0.257 [4 per cell]
4 Y 0.000 0.171 0.500 [4 per cell]
5 Y 0.000 0.337 0.000 [4 per cell]
6 Y 0.000 0.500 0.500 [2 per cell]

Total DFT energy (no corrections)   -5.300 eV per atom
ΔE_f   0.0242 eV per atom

Compound: CaLa3Y7
Source: the Alexandria database
Functional: GGA-PBE
Structure: optimized geometry

Unit cell a=11.890 b=10.188 c=6.548 alpha=90.00 beta=94.30 gamma=90.00
Space group C2/m (No. 12)
Inequivalent atoms, fractional coordinates:
1 Ca 0.000 0.000 0.000 [2 per cell]
2 La 0.000 0.321 0.500 [4 per cell]
3 La 0.000 0.500 0.000 [2 per cell]
4 Y 0.000 0.000 0.500 [2 per cell]
5 Y 0.235 0.500 0.706 [4 per cell]
6 Y 0.242 0.169 0.760 [8 per cell]

Total DFT energy (no corrections)   -5.411 eV per atom
ΔE_f   0.2280 eV per atom

Compound: Ca2La4Y
Source: the Alexandria database
Functional: GGA-PBE
Structure: optimized geometry

Unit cell a=3.634 b=5.998 c=24.218 alpha=90.00 beta=90.00 gamma=90.00
Space group Immm (No. 71)
Inequivalent atoms, fractional coordinates:
1 Ca 0.000 0.000 0.221 [4 per cell]
2 La 0.000 0.500 0.131 [4 per cell]
3 La 0.000 0.500 0.420 [4 per cell]
4 Y 0.000 0.000 0.500 [2 per cell]

Total DFT energy (no corrections)   -4.208 eV per atom
ΔE_f   0.1030 eV per atom

Compound: CaLa3Y2
Source: the Alexandria database
Functional: GGA-PBE
Structure: optimized geometry

Unit cell a=12.407 b=10.231 c=6.917 alpha=90.00 beta=90.09 gamma=90.00
Space group C2/m (No. 12)
Inequivalent atoms, fractional coordinates:
1 Ca 0.002 0.000 0.250 [4 per cell]
2 La 0.221 0.500 0.751 [4 per cell]
3 La 0.240 0.321 0.250 [8 per cell]
4 Y 0.000 0.325 0.000 [4 per cell]
5 Y 0.000 0.325 0.500 [4 per cell]

Total DFT energy (no corrections)   -4.769 eV per atom
ΔE_f   0.1827 eV per atom

Compound: CaLa3Zn
Source: the Alexandria database
Functional: GGA-PBE
Structure: optimized geometry

Unit cell a=5.825 b=5.825 c=5.825 alpha=90.00 beta=90.00 gamma=90.00
Space group Pm-3m (No. 221)
Inequivalent atoms, fractional coordinates:
1 Ca 0.000 0.000 0.000 [1 per cell]
2 La 0.000 0.000 0.500 [3 per cell]
3 Zn 0.500 0.500 0.500 [1 per cell]

Total DFT energy (no corrections)   -2.728 eV per atom
ΔE_f   0.8838 eV per atom

Compound: CaLa4Zn
Source: the Alexandria database
Functional: GGA-PBE
Structure: optimized geometry

Unit cell a=3.753 b=3.753 c=14.660 alpha=90.00 beta=90.00 gamma=90.00
Space group P4/mmm (No. 123)
Inequivalent atoms, fractional coordinates:
1 Ca 0.000 0.000 0.000 [1 per cell]
2 La 0.000 0.000 0.371 [2 per cell]
3 La 0.500 0.500 0.194 [2 per cell]
4 Zn 0.500 0.500 0.500 [1 per cell]

Total DFT energy (no corrections)   -3.903 eV per atom
ΔE_f   -0.0726 eV per atom

Compound: Ca2La2Zn3
Source: the Alexandria database
Functional: GGA-PBE
Structure: optimized geometry

Unit cell a=5.2559 b=5.2559 c=25.4784 alpha=90.00 beta=90.00 gamma=120.00
Space group R-3m (No. 166, hexagonal axes)
Inequivalent atoms, fractional coordinates:
1 Ca 0.0000 0.0000 0.1274 [6 per cell]
2 La 0.0000 0.0000 0.3797 [6 per cell]
3 Zn 0.0000 0.0000 0.0000 [3 per cell]
4 Zn 0.0000 0.0000 0.2539 [6 per cell]

Total DFT energy (no corrections)   -2.726 eV per atom
ΔE_f   -0.2000 eV per atom

Compound: CaLa4Zn
Source: the Alexandria database
Functional: GGA-PBE
Structure: optimized geometry

Unit cell a=9.472 b=9.472 c=9.472 alpha=90.00 beta=90.00 gamma=90.00
Space group F-43m (No. 216)
Inequivalent atoms, fractional coordinates:
1 Ca 0.000 0.000 0.000 [4 per cell]
2 La 0.122 0.122 0.622 [16 per cell]
3 Zn 0.250 0.250 0.250 [4 per cell]

Total DFT energy (no corrections)   -3.518 eV per atom
ΔE_f   0.3134 eV per atom

Compound: Ca3LaZn
Source: the Alexandria database
Functional: GGA-PBE
Structure: optimized geometry

Unit cell a=5.892 b=5.892 c=5.892 alpha=90.00 beta=90.00 gamma=90.00
Space group Pm-3m (No. 221)
Inequivalent atoms, fractional coordinates:
1 Ca 0.000 0.000 0.500 [3 per cell]
2 La 0.000 0.000 0.000 [1 per cell]
3 Zn 0.500 0.500 0.500 [1 per cell]

Total DFT energy (no corrections)   -1.444 eV per atom
ΔE_f   0.9970 eV per atom

Compound: Ca4LaZn5
Source: the Alexandria database
Functional: GGA-PBE
Structure: optimized geometry

Unit cell a=3.703 b=3.703 c=18.457 alpha=90.00 beta=90.00 gamma=90.00
Space group P4/mmm (No. 123)
Inequivalent atoms, fractional coordinates:
1 Ca 0.000 0.000 0.099 [2 per cell]
2 Ca 0.000 0.000 0.297 [2 per cell]
3 La 0.000 0.000 0.500 [1 per cell]
4 Zn 0.500 0.500 0.000 [1 per cell]
5 Zn 0.500 0.500 0.198 [2 per cell]
6 Zn 0.500 0.500 0.397 [2 per cell]

Total DFT energy (no corrections)   -2.180 eV per atom
ΔE_f   -0.2496 eV per atom

Compound: Ca2LaZn6
Source: the Alexandria database
Functional: GGA-PBE
Structure: optimized geometry

Unit cell a=7.8828 b=7.8828 c=3.7473 alpha=90.00 beta=90.00 gamma=120.00
Space group P6/mmm (No. 191)
Inequivalent atoms, fractional coordinates:
1 Ca 0.3333 0.6667 0.0000 [2 per cell]
2 La 0.0000 0.0000 0.0000 [1 per cell]
3 Zn 0.0000 0.3363 0.5000 [6 per cell]

Total DFT energy (no corrections)   -2.141 eV per atom
ΔE_f   -0.2998 eV per atom

Compound: CaLa2Zn9
Source: the Alexandria database
Functional: GGA-PBE
Structure: optimized geometry

Unit cell a=5.5863 b=5.5863 c=26.4386 alpha=90.00 beta=90.00 gamma=120.00
Space group R-3m (No. 166, hexagonal axes)
Inequivalent atoms, fractional coordinates:
1 Ca 0.0000 0.0000 0.0000 [3 per cell]
2 La 0.0000 0.0000 0.1421 [6 per cell]
3 Zn 0.0000 0.0000 0.3348 [6 per cell]
4 Zn 0.0000 0.0000 0.5000 [3 per cell]
5 Zn 0.0030 0.5015 0.9199 [18 per cell]

Total DFT energy (no corrections)   -2.201 eV per atom
ΔE_f   -0.2571 eV per atom

Compound: CaLa6Zn5
Source: the Alexandria database
Functional: GGA-PBE
Structure: optimized geometry

Unit cell a=5.386 b=7.606 c=8.613 alpha=90.00 beta=108.25 gamma=90.00
Space group P2/m (No. 10)
Inequivalent atoms, fractional coordinates:
1 Ca 0.000 0.000 0.000 [1 per cell]
2 La 0.174 0.259 0.352 [4 per cell]
3 La 0.500 0.279 0.000 [2 per cell]
4 Zn 0.000 0.500 0.000 [1 per cell]
5 Zn 0.338 0.500 0.669 [2 per cell]
6 Zn 0.352 0.000 0.698 [2 per cell]

Total DFT energy (no corrections)   -3.383 eV per atom
ΔE_f   -0.2215 eV per atom

Compound: CaLa3Zn
Source: the Alexandria database
Functional: GGA-PBE
Structure: optimized geometry

Unit cell a=5.846 b=5.846 c=5.846 alpha=90.00 beta=90.00 gamma=90.00
Space group Pm-3m (No. 221)
Inequivalent atoms, fractional coordinates:
1 Ca 0.000 0.000 0.000 [1 per cell]
2 La 0.000 0.500 0.500 [3 per cell]
3 Zn 0.500 0.500 0.500 [1 per cell]

Total DFT energy (no corrections)   -3.463 eV per atom
ΔE_f   0.1485 eV per atom

Compound: Ca2LaZn9
Source: the Alexandria database
Functional: GGA-PBE
Structure: optimized geometry

Unit cell a=5.5637 b=5.5637 c=25.9734 alpha=90.00 beta=90.00 gamma=120.00
Space group R-3m (No. 166, hexagonal axes)
Inequivalent atoms, fractional coordinates:
1 Ca 0.0000 0.0000 0.1433 [6 per cell]
2 La 0.0000 0.0000 0.0000 [3 per cell]
3 Zn 0.0000 0.0000 0.3355 [6 per cell]
4 Zn 0.0000 0.0000 0.5000 [3 per cell]
5 Zn 0.0070 0.5035 0.9178 [18 per cell]

Total DFT energy (no corrections)   -1.981 eV per atom
ΔE_f   -0.2814 eV per atom

Compound: Ca5LaZn6
Source: the Alexandria database
Functional: GGA-PBE
Structure: optimized geometry

Unit cell a=5.250 b=15.653 c=7.374 alpha=90.00 beta=90.00 gamma=90.00
Space group Cmmm (No. 65)
Inequivalent atoms, fractional coordinates:
1 Ca 0.000 0.000 0.000 [2 per cell]
2 Ca 0.000 0.331 0.500 [4 per cell]
3 Ca 0.000 0.335 0.000 [4 per cell]
4 La 0.000 0.000 0.500 [2 per cell]
5 Zn 0.000 0.167 0.250 [8 per cell]
6 Zn 0.000 0.500 0.254 [4 per cell]

Total DFT energy (no corrections)   -2.141 eV per atom
ΔE_f   -0.2592 eV per atom

Compound: CaLa3Zn4
Source: the Alexandria database
Functional: GGA-PBE
Structure: optimized geometry

Unit cell a=5.279 b=5.279 c=7.535 alpha=90.00 beta=90.00 gamma=90.00
Space group P4/mmm (No. 123)
Inequivalent atoms, fractional coordinates:
1 Ca 0.000 0.000 0.000 [1 per cell]
2 La 0.000 0.000 0.500 [1 per cell]
3 La 0.500 0.500 0.000 [1 per cell]
4 La 0.500 0.500 0.500 [1 per cell]
5 Zn 0.000 0.500 0.247 [4 per cell]

Total DFT energy (no corrections)   -3.037 eV per atom
ΔE_f   -0.3017 eV per atom

Compound: CaLa2Zn3
Source: the Alexandria database
Functional: GGA-PBE
Structure: optimized geometry

Unit cell a=3.748 b=3.748 c=11.200 alpha=90.00 beta=90.00 gamma=90.00
Space group P4/mmm (No. 123)
Inequivalent atoms, fractional coordinates:
1 Ca 0.000 0.000 0.000 [1 per cell]
2 La 0.000 0.000 0.334 [2 per cell]
3 Zn 0.500 0.500 0.167 [2 per cell]
4 Zn 0.500 0.500 0.500 [1 per cell]

Total DFT energy (no corrections)   -2.905 eV per atom
ΔE_f   -0.2915 eV per atom

Compound: Ca3LaZn3
Source: the Alexandria database
Functional: GGA-PBE
Structure: optimized geometry

Unit cell a=10.3953 b=10.3953 c=6.4323 alpha=90.00 beta=90.00 gamma=120.00
Space group R-3m (No. 166, hexagonal axes)
Inequivalent atoms, fractional coordinates:
1 Ca 0.0000 0.5000 0.0000 [9 per cell]
2 La 0.0000 0.0000 0.0000 [3 per cell]
3 Zn 0.0000 0.5000 0.5000 [9 per cell]

Total DFT energy (no corrections)   -2.262 eV per atom
ΔE_f   -0.1538 eV per atom